Record 1
Below is an optimized crystal structure of Tb5Nd12Ho, with properties calculated at the PBE level.

Results
Space group: Cmmm
Total moment in μB/f.u.: 0.0
V in Å³ per cell: 614
Calculated formation energy in eV/atom: 0.017

Geometry as CIF:
```
data_Tb5Nd12Ho
_chemical_formula_sum 'Tb5 Nd12 Ho1'
_space_group_name_H-M_alt 'P 1'
_space_group_IT_number 1
_space_group_name_Hall 'P 1'
_cell_length_a 10.9159
_cell_length_b 10.9159
_cell_length_c 5.1530
_cell_angle_alpha 90.00
_cell_angle_beta 90.00
_cell_angle_gamma 90.10
loop_
_atom_site_label
_atom_site_type_symbol
_atom_site_fract_x
_atom_site_fract_y
_atom_site_fract_z
Tb1 Tb 0.0000 0.0000 0.0000
Tb2 Tb 0.1666 0.8334 0.5000
Tb3 Tb 0.3335 0.6665 0.0000
Tb4 Tb 0.6665 0.3335 0.0000
Tb5 Tb 0.8334 0.1666 0.5000
Nd1 Nd 0.0014 0.6680 0.0000
Nd2 Nd 0.1655 0.1655 0.5000
Nd3 Nd 0.1684 0.5015 0.5000
Nd4 Nd 0.3320 0.9986 0.0000
Nd5 Nd 0.3352 0.3352 0.0000
Nd6 Nd 0.4985 0.8316 0.5000
Nd7 Nd 0.5015 0.1684 0.5000
Nd8 Nd 0.6648 0.6648 0.0000
Nd9 Nd 0.6680 0.0014 0.0000
Nd10 Nd 0.8316 0.4985 0.5000
Nd11 Nd 0.8345 0.8345 0.5000
Nd12 Nd 0.9986 0.3320 0.0000
Ho1 Ho 0.5000 0.5000 0.5000
```

Record 2
Below is an optimized crystal structure of Tb8Nd3Ho2, with properties calculated at the PBE level.

Results
Space group: P-1
Total moment in μB/f.u.: 0.0
Polymorph energy (0 for the lowest one) in kcal/mol of atoms: 0.000
V in Å³ per cell: 423
Calculated formation energy in eV/atom: 0.019

Geometry as CIF:
```
data_Tb8Nd3Ho2
_chemical_formula_sum 'Tb8 Nd3 Ho2'
_space_group_name_H-M_alt 'P 1'
_space_group_IT_number 1
_space_group_name_Hall 'P 1'
_cell_length_a 6.2037
_cell_length_b 6.2044
_cell_length_c 11.3282
_cell_angle_alpha 79.50
_cell_angle_beta 90.00
_cell_angle_gamma 80.48
loop_
_atom_site_label
_atom_site_type_symbol
_atom_site_fract_x
_atom_site_fract_y
_atom_site_fract_z
Tb1 Tb 0.0753 0.0375 0.3425
Tb2 Tb 0.1515 0.5765 0.1890
Tb3 Tb 0.3080 0.6544 0.8867
Tb4 Tb 0.3876 0.1923 0.7348
Tb5 Tb 0.6124 0.8077 0.2652
Tb6 Tb 0.6921 0.3456 0.1133
Tb7 Tb 0.8485 0.4235 0.8110
Tb8 Tb 0.9247 0.9625 0.6575
Nd1 Nd 0.0000 0.5000 0.5000
Nd2 Nd 0.4615 0.7312 0.5791
Nd3 Nd 0.5385 0.2688 0.4209
Ho1 Ho 0.2307 0.1151 0.0376
Ho2 Ho 0.7693 0.8849 0.9624
```

Record 3
Below is an optimized crystal structure of TbNd2Ho2, with properties calculated at the PBE level.

Results
Space group: C2/c
Total moment in μB/f.u.: 0.0
Polymorph energy (0 for the lowest one) in kcal/mol of atoms: 0.000
V in Å³ per cell: 332
Calculated formation energy in eV/atom: 0.020

Geometry as CIF:
```
data_TbNd2Ho2
_chemical_formula_sum 'Tb2 Nd4 Ho4'
_space_group_name_H-M_alt 'P 1'
_space_group_IT_number 1
_space_group_name_Hall 'P 1'
_cell_length_a 8.5489
_cell_length_b 8.5489
_cell_length_c 6.8160
_cell_angle_alpha 103.03
_cell_angle_beta 103.03
_cell_angle_gamma 43.47
loop_
_atom_site_label
_atom_site_type_symbol
_atom_site_fract_x
_atom_site_fract_y
_atom_site_fract_z
Tb1 Tb 0.0835 0.9165 0.7500
Tb2 Tb 0.9165 0.0835 0.2500
Nd1 Nd 0.1145 0.2846 0.6508
Nd2 Nd 0.2846 0.1145 0.1508
Nd3 Nd 0.7154 0.8855 0.8492
Nd4 Nd 0.8855 0.7154 0.3492
Ho1 Ho 0.3200 0.4851 0.0487
Ho2 Ho 0.4851 0.3200 0.5487
Ho3 Ho 0.5149 0.6800 0.4513
Ho4 Ho 0.6800 0.5149 0.9513
```

Record 4
Below is an optimized crystal structure of Tb2Nd3Ho7, with properties calculated at the PBE level.

Results
Space group: P2/m
Total moment in μB/f.u.: 0.0
V in Å³ per cell: 390
Calculated formation energy in eV/atom: 0.086

Geometry as CIF:
```
data_Tb2Nd3Ho7
_chemical_formula_sum 'Tb2 Nd3 Ho7'
_space_group_name_H-M_alt 'P 1'
_space_group_IT_number 1
_space_group_name_Hall 'P 1'
_cell_length_a 6.3427
_cell_length_b 3.5298
_cell_length_c 17.5291
_cell_angle_alpha 90.00
_cell_angle_beta 96.26
_cell_angle_gamma 90.00
loop_
_atom_site_label
_atom_site_type_symbol
_atom_site_fract_x
_atom_site_fract_y
_atom_site_fract_z
Tb1 Tb 0.0553 0.0000 0.1738
Tb2 Tb 0.9447 0.0000 0.8262
Nd1 Nd 0.4537 0.5000 0.8409
Nd2 Nd 0.5000 0.0000 0.5000
Nd3 Nd 0.5463 0.5000 0.1591
Ho1 Ho 0.0000 0.5000 0.5000
Ho2 Ho 0.2247 0.0000 0.6659
Ho3 Ho 0.2532 0.0000 0.9995
Ho4 Ho 0.2700 0.5000 0.3347
Ho5 Ho 0.7300 0.5000 0.6653
Ho6 Ho 0.7468 0.0000 0.0005
Ho7 Ho 0.7753 0.0000 0.3341
```